A plane-wave DFT calculation with PBE was carried out for Cs2DyMgBr6 after structural relaxation.

abc: 8.1775 8.1762 11.5775
angles: 90.00 90.00 90.00
Atoms (fractional coordinates):
Br 0.7438 0.4957 0.0000
Br 0.7562 0.5043 0.5000
Br 0.2444 0.9927 0.5000
Br 0.0000 0.7494 0.2563
Br 0.7556 0.9927 0.5000
Br 0.2562 0.4957 0.0000
Br 0.2556 0.0073 0.0000
Br 0.7444 0.0073 0.0000
Br 0.0000 0.7494 0.7437
Br 0.5000 0.2506 0.7563
Br 0.5000 0.2506 0.2437
Br 0.2438 0.5043 0.5000
Cs 0.5000 0.7502 0.2500
Cs 0.5000 0.7502 0.7500
Cs 0.0000 0.2498 0.7500
Cs 0.0000 0.2498 0.2500
Dy 0.5000 0.2509 0.0000
Dy 0.0000 0.7491 0.5000
Mg 0.5000 0.2500 0.5000
Mg 0.0000 0.7500 0.0000

Calculated volume ... 38.70 Å³ per atom
Crystal system ... orthorhombic
Magnetization ... 0.79 μB/f.u.
Density ... 3.999 g cm⁻³
Formation energy (no corrections) ... -1599 meV per atom



A plane-wave DFT calculation with PBE was carried out for Pm2ZnHg2 after structural relaxation.

abc: 3.6269 3.8016 9.8547
angles: 78.88 90.00 90.00
Atoms (fractional coordinates):
Hg 0.0000 0.1922 0.6156
Hg 0.0000 0.8078 0.3844
Pm 0.5000 0.4068 0.1864
Pm 0.5000 0.5932 0.8136
Zn 0.0000 0.0000 0.0000

Calculated volume ... 26.67 Å³ per atom
Energy of formation ... -6.8 kcal/mol of atoms
Crystal system ... orthorhombic
Magnetization ... 0.00 μB/f.u.
Density ... 9.423 g cm⁻³



A plane-wave DFT calculation with PBE was carried out for PmAs2Pd2 after structural relaxation.

abc: 4.3028 4.3028 6.0412
angles: 110.86 110.86 90.00
Atoms (fractional coordinates):
As 0.8802 0.3802 0.2604
As 0.1198 0.6198 0.7396
Pd 0.2500 0.2500 0.0000
Pd 0.7500 0.7500 0.0000
Pm 0.5000 0.0000 0.5000

Calculated volume ... 19.33 Å³ per atom
Energy of formation ... -19.3 kcal/mol of atoms
Crystal system ... tetragonal
Magnetization ... 0.00 μB/f.u.
Density ... 8.725 g cm⁻³



A plane-wave DFT calculation with PBE was carried out for Tm12Tl5Rh2 after structural relaxation.

abc: 7.4886 9.1524 9.5971
angles: 103.80 90.00 114.15
Atoms (fractional coordinates):
Tm 0.5998 0.7009 0.4270
Tm 0.1011 0.7009 0.4270
Tm 0.4002 0.2991 0.5730
Tm 0.9871 0.9742 0.1727
Tm 0.0970 0.6739 0.9081
Tm 0.9030 0.3261 0.0919
Tm 0.0129 0.0258 0.8273
Tm 0.5036 0.0072 0.2426
Tm 0.4964 0.9928 0.7574
Tm 0.8989 0.2991 0.5730
Tm 0.5769 0.6739 0.9081
Tm 0.4231 0.3261 0.0919
Rh 0.7095 0.0000 0.0000
Rh 0.2905 0.0000 0.0000
Tl 0.3106 0.6211 0.1612
Tl 0.3013 0.6025 0.6390
Tl 0.0000 0.0000 0.5000
Tl 0.6894 0.3789 0.8388
Tl 0.6987 0.3975 0.3610

Calculated volume ... 30.49 Å³ per atom
Energy of formation ... -4.9 kcal/mol of atoms
Crystal system ... monoclinic
Magnetization ... 0.00 μB/f.u.
Density ... 9.329 g cm⁻³



A plane-wave DFT calculation with PBE was carried out for Be2Re2Bi after structural relaxation.

abc: 6.4611 6.4611 3.3220
angles: 90.00 90.00 90.00
Atoms (fractional coordinates):
Re 0.8359 0.3359 0.5000
Re 0.3359 0.1641 0.5000
Re 0.6641 0.8359 0.5000
Re 0.1641 0.6641 0.5000
Be 0.8868 0.6132 0.0000
Be 0.6132 0.1132 0.0000
Be 0.3868 0.8868 0.0000
Be 0.1132 0.3868 0.0000
Bi 0.5000 0.5000 0.0000
Bi 0.0000 0.0000 0.0000

Calculated volume ... 13.87 Å³ per atom
Energy of formation ... 13.2 kcal/mol of atoms
Crystal system ... tetragonal
Magnetization ... 0.00 μB/f.u.
Density ... 14.355 g cm⁻³



A plane-wave DFT calculation with PBE was carried out for Pu2GeBPt6 after structural relaxation.

abc: 5.7064 7.4376 8.6104
angles: 90.00 90.00 90.00
Atoms (fractional coordinates):
B 0.5000 0.2054 0.5000
B 0.0000 0.7946 0.0000
Pt 0.0000 0.8526 0.2475
Pt 0.7586 0.0022 0.5000
Pt 0.7519 0.5832 0.0000
Pt 0.5000 0.1474 0.7475
Pt 0.2414 0.0022 0.5000
Pt 0.7481 0.4168 0.5000
Pt 0.5000 0.1474 0.2525
Pt 0.2586 0.9978 0.0000
Pt 0.2481 0.5832 0.0000
Pt 0.7414 0.9978 0.0000
Pt 0.2519 0.4168 0.5000
Pt 0.0000 0.8526 0.7525
Pu 0.5000 0.7182 0.2855
Pu 0.0000 0.2818 0.2145
Pu 0.0000 0.2818 0.7855
Pu 0.5000 0.7182 0.7145
Ge 0.5000 0.3108 0.0000
Ge 0.0000 0.6892 0.5000

Calculated volume ... 18.27 Å³ per atom
Energy of formation ... -14.8 kcal/mol of atoms
Crystal system ... orthorhombic
Magnetization ... 10.39 μB/f.u.
Density ... 15.831 g cm⁻³



A plane-wave DFT calculation with PBE was carried out for SmBe2Si2Tc after structural relaxation.

abc: 3.8940 3.8940 6.7671
angles: 90.00 90.00 120.00
Atoms (fractional coordinates):
Be 0.6667 0.3333 0.6634
Be 0.3333 0.6667 0.3366
Si 0.3333 0.6667 0.7068
Si 0.6667 0.3333 0.2932
Tc 0.0000 0.0000 0.5000
Sm 0.0000 0.0000 0.0000

Calculated volume ... 14.81 Å³ per atom
Crystal system ... trigonal
Magnetization ... 0.00 μB/f.u.
Density ... 6.027 g cm⁻³
Formation energy (no corrections) ... -403 meV per atom



A plane-wave DFT calculation with PBE was carried out for Au2SeBr3 after structural relaxation.

abc: 6.5692 9.1890 7.4397
angles: 85.54 60.65 85.03
Atoms (fractional coordinates):
Br 0.2282 0.4320 0.6573
Br 0.7718 0.5680 0.3427
Br 0.6511 0.2092 0.9892
Br 0.9685 0.7973 0.6831
Br 0.0315 0.2027 0.3169
Br 0.3489 0.7908 0.0108
Au 0.3726 0.6946 0.5128
Au 0.0630 0.1146 0.8317
Au 0.9370 0.8854 0.1683
Au 0.6274 0.3054 0.4872
Se 0.5175 0.9437 0.3462
Se 0.4825 0.0563 0.6538

Calculated volume ... 32.47 Å³ per atom
Crystal system ... triclinic
Magnetization ... 0.00 μB/f.u.
Density ... 6.074 g cm⁻³
Formation energy (no corrections) ... -125 meV per atom



A plane-wave DFT calculation with PBE was carried out for LiCaLuSi after structural relaxation.

abc: 4.9856 4.9856 4.9856
angles: 60.00 60.00 60.00
Atoms (fractional coordinates):
Ca 0.5000 0.5000 0.5000
Si 0.7500 0.7500 0.7500
Li 0.2500 0.2500 0.2500
Lu 0.0000 0.0000 0.0000

Calculated volume ... 21.91 Å³ per atom
Crystal system ... cubic
Magnetization ... 0.00 μB/f.u.
Density ... 4.739 g cm⁻³
Formation energy (no corrections) ... -252 meV per atom



A plane-wave DFT calculation with PBE was carried out for Ag2IrCl8 after structural relaxation.

abc: 5.7542 7.6201 8.2259
angles: 94.67 90.00 112.18
Atoms (fractional coordinates):
Cl 0.8562 0.2443 0.0119
Cl 0.3208 0.6416 0.5611
Cl 0.6119 0.7557 0.9881
Cl 0.3881 0.2443 0.0119
Cl 0.0031 0.0063 0.2872
Cl 0.1438 0.7557 0.9881
Cl 0.6792 0.3584 0.4389
Cl 0.9969 0.9937 0.7128
Ag 0.1651 0.3301 0.4180
Ag 0.8349 0.6699 0.5820
Ir 0.0000 0.0000 0.0000

Calculated volume ... 30.25 Å³ per atom
Crystal system ... monoclinic
Magnetization ... 0.63 μB/f.u.
Density ... 3.452 g cm⁻³
Formation energy (no corrections) ... -286 meV per atom



A plane-wave DFT calculation with PBE was carried out for NpVH4 after structural relaxation.

abc: 4.4017 5.3608 5.1761
angles: 121.19 115.16 90.00
Atoms (fractional coordinates):
H 0.2377 0.5000 0.5000
H 0.7623 0.5000 0.5000
H 0.0001 0.8249 0.0001
H 0.5000 0.1752 0.0001
H 0.9999 0.1751 0.9999
H 0.5000 0.8248 0.9999
H 0.7623 0.0000 0.5000
H 0.2377 0.0000 0.5000
V 0.0972 0.8473 0.6945
V 0.9028 0.1527 0.3055
Np 0.3339 0.5839 0.1679
Np 0.6661 0.4161 0.8321

Calculated volume ... 7.56 Å³ per atom
VASP energy ... -5.962 eV/atom
Crystal system ... orthorhombic
Magnetization ... 0.00 μB/f.u.
Density ... 10.695 g cm⁻³



A plane-wave DFT calculation with PBE was carried out for Sc2OsO after structural relaxation.

abc: 7.8551 7.8551 7.8551
angles: 24.75 24.75 24.75
Atoms (fractional coordinates):
O 0.0000 0.0000 0.0000
Sc 0.9171 0.9171 0.9171
Sc 0.0829 0.0829 0.0829
Os 0.5000 0.5000 0.5000

Calculated volume ... 18.68 Å³ per atom
Crystal system ... trigonal
Magnetization ... 0.00 μB/f.u.
Density ... 6.581 g cm⁻³
Formation energy (no corrections) ... -990 meV per atom



A plane-wave DFT calculation with PBE was carried out for Cs2TlIn4Bi3 after structural relaxation.

abc: 5.3137 5.3137 13.6888
angles: 90.00 90.00 90.00
Atoms (fractional coordinates):
Cs 0.0000 0.5000 0.7506
Cs 0.5000 0.0000 0.2494
In 0.0000 0.0000 0.0000
In 0.0000 0.5000 0.3691
In 0.5000 0.5000 0.0000
In 0.5000 0.0000 0.6309
Bi 0.0000 0.0000 0.5000
Bi 0.5000 0.0000 0.8738
Bi 0.0000 0.5000 0.1262
Tl 0.5000 0.5000 0.5000

Calculated volume ... 38.65 Å³ per atom
Energy of formation ... -4.3 kcal/mol of atoms
Crystal system ... tetragonal
Magnetization ... 0.00 μB/f.u.
Density ... 6.687 g cm⁻³



A plane-wave DFT calculation with PBE was carried out for LiPa2PN5 after structural relaxation.

abc: 5.3592 6.6182 6.6182
angles: 90.00 90.00 90.00
Atoms (fractional coordinates):
Li 0.0000 0.0000 0.0000
Li 0.0000 0.5000 0.5000
N 0.7682 0.3707 0.1293
N 0.5000 0.0000 0.0000
N 0.2318 0.6293 0.8707
N 0.7682 0.6293 0.8707
N 0.2318 0.1293 0.6293
N 0.2318 0.3707 0.1293
N 0.5000 0.5000 0.5000
N 0.2318 0.8707 0.3707
N 0.7682 0.1293 0.6293
N 0.7682 0.8707 0.3707
Pa 0.5000 0.6861 0.1861
Pa 0.5000 0.1861 0.3139
Pa 0.5000 0.3139 0.8139
Pa 0.5000 0.8139 0.6861
P 0.0000 0.5000 0.0000
P 0.0000 0.0000 0.5000

Calculated volume ... 13.04 Å³ per atom
Crystal system ... tetragonal
Magnetization ... 0.00 μB/f.u.
Density ... 8.065 g cm⁻³
Formation energy (no corrections) ... -858 meV per atom



A plane-wave DFT calculation with PBE was carried out for Cd2TeCl after structural relaxation.

abc: 7.4614 7.4614 7.4614
angles: 148.03 148.03 45.84
Atoms (fractional coordinates):
Cd 0.2500 0.7500 0.5000
Cd 0.0000 0.0000 0.0000
Cl 0.5000 0.5000 0.0000
Te 0.7500 0.2500 0.5000

Calculated volume ... 29.01 Å³ per atom
Crystal system ... tetragonal
Magnetization ... 0.00 μB/f.u.
Density ... 5.550 g cm⁻³
Formation energy (no corrections) ... -242 meV per atom



A plane-wave DFT calculation with PBE was carried out for Pr3Sm2Sn2 after structural relaxation.

abc: 3.5767 8.1669 9.0447
angles: 118.36 101.40 90.00
Atoms (fractional coordinates):
Pr 0.2128 0.7652 0.4256
Pr 0.7872 0.2348 0.5744
Pr 0.0000 0.5000 0.0000
Sm 0.8935 0.7566 0.7870
Sm 0.1065 0.2434 0.2130
Sn 0.4160 0.1100 0.8319
Sn 0.5840 0.8900 0.1681

Calculated volume ... 32.36 Å³ per atom
Energy of formation ... -6.8 kcal/mol of atoms
Crystal system ... monoclinic
Magnetization ... 0.00 μB/f.u.
Density ... 7.043 g cm⁻³



A plane-wave DFT calculation with PBE was carried out for LaNd2HoTm2 after structural relaxation.

abc: 5.6785 9.8967 7.0442
angles: 90.00 90.00 90.00
Atoms (fractional coordinates):
Nd 0.5000 0.1668 0.7461
Nd 0.0000 0.3332 0.2461
Nd 0.0000 0.6668 0.7539
Nd 0.5000 0.8332 0.2539
La 0.5000 0.5000 0.5000
La 0.0000 0.0000 0.0000
Tm 0.0000 0.6665 0.2502
Tm 0.0000 0.3335 0.7498
Tm 0.5000 0.1665 0.2498
Tm 0.5000 0.8335 0.7502
Ho 0.5000 0.5000 0.0000
Ho 0.0000 0.0000 0.5000

Calculated volume ... 32.99 Å³ per atom
Energy of formation ... 1.5 kcal/mol of atoms
Crystal system ... orthorhombic
Magnetization ... 0.00 μB/f.u.
Density ... 7.804 g cm⁻³



A plane-wave DFT calculation with PBE was carried out for PrEuCoAg after structural relaxation.

abc: 5.1438 5.1438 5.1438
angles: 60.00 60.00 60.00
Atoms (fractional coordinates):
Pr 0.7500 0.7500 0.7500
Co 0.5000 0.5000 0.5000
Eu 0.2500 0.2500 0.2500
Ag 0.0000 0.0000 0.0000

Calculated volume ... 24.06 Å³ per atom
Energy of formation ... 0.3 kcal/mol of atoms
Crystal system ... cubic
Magnetization ... 6.69 μB/f.u.
Density ... 7.932 g cm⁻³



A plane-wave DFT calculation with PBE was carried out for YCu2Sb after structural relaxation.

abc: 4.2452 4.2522 4.4011
angles: 90.00 90.00 90.00
Atoms (fractional coordinates):
Y 0.5000 0.6250 0.8535
Sb 0.0000 0.6238 0.3613
Cu 0.0000 0.1245 0.9622
Cu 0.5000 0.1267 0.3230

Calculated volume ... 19.86 Å³ per atom
Crystal system ... monoclinic
Magnetization ... 0.00 μB/f.u.
Density ... 7.060 g cm⁻³
Formation energy (no corrections) ... -292 meV per atom